Arrangement P

Here is crystalline CrGaAsSe2 at its relaxed geometry from Alexandria via LeMat-Bulk. Energies are from PBE.

DOS(E_F) = 6.45 states/eV/cell

abc: 4.8410 4.8410 4.6591
angles: 90.00 90.00 90.00
Space group P4/mmm (No. 123)
Inequivalent atoms, fractional coordinates:
Cr1 0.0000 0.0000 0.0000 x1
Ga1 0.5000 0.5000 0.5000 x1
As1 0.0000 0.0000 0.5000 x1
Se1 0.0000 0.5000 0.0000 x2



Arrangement Q

Here is crystalline CrGaAsSe2 at its relaxed geometry from Alexandria via LeMat-Bulk. Energies are from PBE.

DOS(E_F) = 7.33 states/eV/cell

abc: 4.9314 4.9314 4.7591
angles: 90.00 90.00 90.00
Space group P4/mmm (No. 123)
Inequivalent atoms, fractional coordinates:
Cr1 0.0000 0.0000 0.0000 x1
Ga1 0.5000 0.5000 0.5000 x1
As1 0.5000 0.5000 0.0000 x1
Se1 0.0000 0.5000 0.5000 x2



It comes down to arrangement P, which is 877 meV/atom more stable than the next structure.



Arrangement P

Here is crystalline CrGaAs2Se at its relaxed geometry from Alexandria via LeMat-Bulk. Energies are from PBE.

DOS(E_F) = 3.66 states/eV/cell

abc: 4.6264 4.6264 5.1876
angles: 90.00 90.00 90.00
Space group P4/mmm (No. 123)
Inequivalent atoms, fractional coordinates:
Cr1 0.0000 0.0000 0.0000 x1
Ga1 0.5000 0.5000 0.5000 x1
As1 0.0000 0.5000 0.0000 x2
Se1 0.0000 0.0000 0.5000 x1



Arrangement Q

Here is crystalline CrGaAs2Se at its relaxed geometry from Alexandria via LeMat-Bulk. Energies are from PBE.

DOS(E_F) = 5.47 states/eV/cell

abc: 4.7985 4.7985 4.9509
angles: 90.00 90.00 90.00
Space group P4/mmm (No. 123)
Inequivalent atoms, fractional coordinates:
Cr1 0.0000 0.0000 0.0000 x1
Ga1 0.5000 0.5000 0.5000 x1
As1 0.0000 0.5000 0.5000 x2
Se1 0.5000 0.5000 0.0000 x1



It comes down to arrangement P, which is 950 meV/atom more stable than the next structure.



Arrangement P

Here is crystalline CrGeAs3 at its relaxed geometry from Alexandria via LeMat-Bulk. Energies are from PBE.

DOS(E_F) = 2.99 states/eV/cell

abc: 4.6942 4.6942 4.6942
angles: 90.00 90.00 90.00
Space group Pm-3m (No. 221)
Inequivalent atoms, fractional coordinates:
Cr1 0.0000 0.0000 0.0000 x1
Ge1 0.5000 0.5000 0.5000 x1
As1 0.0000 0.0000 0.5000 x3



Arrangement Q

Here is crystalline CrGeAs3 at its relaxed geometry from Alexandria via LeMat-Bulk. Energies are from PBE.

DOS(E_F) = 3.48 states/eV/cell

abc: 4.9073 4.9073 4.9073
angles: 90.00 90.00 90.00
Space group Pm-3m (No. 221)
Inequivalent atoms, fractional coordinates:
Cr1 0.0000 0.0000 0.0000 x1
Ge1 0.5000 0.5000 0.5000 x1
As1 0.0000 0.5000 0.5000 x3



It comes down to arrangement P, which is 501 meV/atom more stable than the next structure.



Arrangement P

Here is crystalline CrGe3As at its relaxed geometry from Alexandria via LeMat-Bulk. Energies are from PBE.

DOS(E_F) = 2.63 states/eV/cell

abc: 4.7140 4.7140 4.7140
angles: 90.00 90.00 90.00
Space group Pm-3m (No. 221)
Inequivalent atoms, fractional coordinates:
Cr1 0.0000 0.0000 0.0000 x1
Ge1 0.0000 0.0000 0.5000 x3
As1 0.5000 0.5000 0.5000 x1



Arrangement Q

Here is crystalline CrGe3As at its relaxed geometry from Alexandria via LeMat-Bulk. Energies are from PBE.

DOS(E_F) = 6.94 states/eV/cell

abc: 4.9055 4.9055 4.9055
angles: 90.00 90.00 90.00
Space group Pm-3m (No. 221)
Inequivalent atoms, fractional coordinates:
Cr1 0.0000 0.0000 0.0000 x1
Ge1 0.0000 0.5000 0.5000 x3
As1 0.5000 0.5000 0.5000 x1



It comes down to arrangement P, which is 995 meV/atom more stable than the next structure.



Arrangement P

Here is crystalline CrGeAs2Se at its relaxed geometry from Alexandria via LeMat-Bulk. Energies are from PBE.

DOS(E_F) = 5.79 states/eV/cell

abc: 4.8573 4.8573 4.8928
angles: 90.00 90.00 90.00
Space group P4/mmm (No. 123)
Inequivalent atoms, fractional coordinates:
Cr1 0.0000 0.0000 0.0000 x1
Ge1 0.5000 0.5000 0.5000 x1
As1 0.0000 0.5000 0.5000 x2
Se1 0.5000 0.5000 0.0000 x1



Arrangement Q

Here is crystalline CrGeAs2Se at its relaxed geometry from Alexandria via LeMat-Bulk. Energies are from PBE.

DOS(E_F) = 2.73 states/eV/cell

abc: 4.5444 4.5444 5.3693
angles: 90.00 90.00 90.00
Space group P4/mmm (No. 123)
Inequivalent atoms, fractional coordinates:
Cr1 0.0000 0.0000 0.0000 x1
Ge1 0.5000 0.5000 0.5000 x1
As1 0.0000 0.5000 0.0000 x2
Se1 0.0000 0.0000 0.5000 x1



It comes down to arrangement Q, which is 871 meV/atom more stable than the next structure.



Arrangement P

Here is crystalline CrAs3H at its relaxed geometry from Alexandria via LeMat-Bulk. Energies are from PBE.

DOS(E_F) = 8.49 states/eV/cell

abc: 4.1572 4.1572 4.1572
angles: 90.00 90.00 90.00
Space group Pm-3m (No. 221)
Inequivalent atoms, fractional coordinates:
Cr1 0.0000 0.0000 0.0000 x1
As1 0.0000 0.5000 0.5000 x3
H1 0.5000 0.5000 0.5000 x1



Arrangement Q

Here is crystalline CrAs3H at its relaxed geometry from Alexandria via LeMat-Bulk. Energies are from PBE.

DOS(E_F) = 4.40 states/eV/cell

abc: 4.5755 4.5755 4.5755
angles: 90.00 90.00 90.00
Space group Pm-3m (No. 221)
Inequivalent atoms, fractional coordinates:
Cr1 0.0000 0.0000 0.0000 x1
As1 0.0000 0.0000 0.5000 x3
H1 0.5000 0.5000 0.5000 x1



It comes down to arrangement Q, which is 164 meV/atom more stable than the next structure.



Arrangement P

Here is crystalline CrAsH3 at its relaxed geometry from Alexandria via LeMat-Bulk. Energies are from PBE.

DOS(E_F) = 0.98 states/eV/cell

abc: 3.4603 3.4603 3.4603
angles: 90.00 90.00 90.00
Space group Pm-3m (No. 221)
Inequivalent atoms, fractional coordinates:
Cr1 0.0000 0.0000 0.0000 x1
As1 0.5000 0.5000 0.5000 x1
H1 0.0000 0.0000 0.5000 x3



Arrangement Q

Here is crystalline CrAsH3 at its relaxed geometry from Alexandria via LeMat-Bulk. Energies are from PBE.

DOS(E_F) = 3.98 states/eV/cell

abc: 3.5185 3.5185 3.5185
angles: 90.00 90.00 90.00
Space group Pm-3m (No. 221)
Inequivalent atoms, fractional coordinates:
Cr1 0.0000 0.0000 0.0000 x1
As1 0.5000 0.5000 0.5000 x1
H1 0.0000 0.5000 0.5000 x3



It comes down to arrangement P, which is 765 meV/atom more stable than the next structure.



Arrangement P

Here is crystalline Cr2AsH at its relaxed geometry from Alexandria via LeMat-Bulk. Energies are from PBE.

DOS(E_F) = 13.46 states/eV/cell

abc: 4.3623 4.3623 9.9219
angles: 90.00 90.00 90.00
Space group I-42d (No. 122)
Inequivalent atoms, fractional coordinates:
Cr1 0.0466 0.2500 0.1250 x8
As1 0.0000 0.0000 0.5000 x4
H1 0.0000 0.0000 0.0000 x4



Arrangement Q

Here is crystalline Cr2AsH at its relaxed geometry from Alexandria via LeMat-Bulk. Energies are from PBE.

DOS(E_F) = 13.03 states/eV/cell

abc: 5.7510 5.7510 5.7510
angles: 90.00 90.00 90.00
Space group Fm-3m (No. 225)
Inequivalent atoms, fractional coordinates:
Cr1 0.2500 0.2500 0.2500 x8
As1 0.0000 0.0000 0.0000 x4
H1 0.0000 0.0000 0.5000 x4



Arrangement R

Here is crystalline Cr2AsH at its relaxed geometry from Alexandria via LeMat-Bulk. Energies are from PBE.

DOS(E_F) = 9.90 states/eV/cell

abc: 4.1289 4.1289 11.6348
angles: 90.00 90.00 120.00
Space group R-3m (No. 166, hexagonal axes)
Inequivalent atoms, fractional coordinates:
Cr1 0.0000 0.0000 0.1426 x6
As1 0.0000 0.0000 0.5000 x3
H1 0.0000 0.0000 0.0000 x3



It comes down to arrangement P, which is 13 meV/atom more stable than the next structure.



Arrangement P

Here is crystalline CrAsHSe2 at its relaxed geometry from Alexandria via LeMat-Bulk. Energies are from PBE.

DOS(E_F) = 4.39 states/eV/cell

abc: 4.7140 4.7140 4.7049
angles: 90.00 90.00 90.00
Space group P4/mmm (No. 123)
Inequivalent atoms, fractional coordinates:
Cr1 0.0000 0.0000 0.0000 x1
As1 0.0000 0.0000 0.5000 x1
H1 0.5000 0.5000 0.5000 x1
Se1 0.0000 0.5000 0.0000 x2



Arrangement Q

Here is crystalline CrAsHSe2 at its relaxed geometry from Alexandria via LeMat-Bulk. Energies are from PBE.

DOS(E_F) = 6.08 states/eV/cell

abc: 4.6961 4.6961 3.3827
angles: 90.00 90.00 90.00
Space group P4/mmm (No. 123)
Inequivalent atoms, fractional coordinates:
Cr1 0.0000 0.0000 0.0000 x1
As1 0.5000 0.5000 0.0000 x1
H1 0.5000 0.5000 0.5000 x1
Se1 0.0000 0.5000 0.5000 x2



It comes down to arrangement P, which is 86 meV/atom more stable than the next structure.



Arrangement P

Here is crystalline HfCrAs3 at its relaxed geometry from Alexandria via LeMat-Bulk. Energies are from PBE.

DOS(E_F) = 7.57 states/eV/cell

abc: 4.6443 4.6443 4.6443
angles: 90.00 90.00 90.00
Space group Pm-3m (No. 221)
Inequivalent atoms, fractional coordinates:
Hf1 0.0000 0.0000 0.0000 x1
Cr1 0.5000 0.5000 0.5000 x1
As1 0.0000 0.5000 0.5000 x3



Arrangement Q

Here is crystalline HfCrAs3 at its relaxed geometry from Alexandria via LeMat-Bulk. Energies are from PBE.

DOS(E_F) = 3.76 states/eV/cell

abc: 5.1150 5.1150 5.1150
angles: 90.00 90.00 90.00
Space group Pm-3m (No. 221)
Inequivalent atoms, fractional coordinates:
Hf1 0.0000 0.0000 0.0000 x1
Cr1 0.5000 0.5000 0.5000 x1
As1 0.0000 0.0000 0.5000 x3



It comes down to arrangement P, which is 51 meV/atom more stable than the next structure.



Arrangement P

Here is crystalline HfCrAs2Se at its relaxed geometry from Alexandria via LeMat-Bulk. Energies are from PBE.

DOS(E_F) = 6.00 states/eV/cell

abc: 5.1360 5.1360 5.0425
angles: 90.00 90.00 90.00
Space group P4/mmm (No. 123)
Inequivalent atoms, fractional coordinates:
Hf1 0.0000 0.0000 0.0000 x1
Cr1 0.5000 0.5000 0.5000 x1
As1 0.0000 0.5000 0.0000 x2
Se1 0.0000 0.0000 0.5000 x1



Arrangement Q

Here is crystalline HfCrAs2Se at its relaxed geometry from Alexandria via LeMat-Bulk. Energies are from PBE.

DOS(E_F) = 3.56 states/eV/cell

abc: 4.6030 4.6030 4.9350
angles: 90.00 90.00 90.00
Space group P4/mmm (No. 123)
Inequivalent atoms, fractional coordinates:
Hf1 0.0000 0.0000 0.0000 x1
Cr1 0.5000 0.5000 0.5000 x1
As1 0.0000 0.5000 0.5000 x2
Se1 0.5000 0.5000 0.0000 x1



It comes down to arrangement Q, which is 517 meV/atom more stable than the next structure.



Arrangement P

Here is crystalline Cr2HgAs at its relaxed geometry from Alexandria via LeMat-Bulk. Energies are from PBE.

DOS(E_F) = 11.52 states/eV/cell

abc: 4.7051 4.7051 16.2963
angles: 90.00 90.00 90.00
Space group I-42d (No. 122)
Inequivalent atoms, fractional coordinates:
Cr1 0.1973 0.2500 0.1250 x8
Hg1 0.0000 0.0000 0.5000 x4
As1 0.0000 0.0000 0.0000 x4



Arrangement Q

Here is crystalline Cr2HgAs at its relaxed geometry from Alexandria via LeMat-Bulk. Energies are from PBE.

DOS(E_F) = 4.18 states/eV/cell

abc: 3.4249 3.4249 21.5033
angles: 90.00 90.00 120.00
Space group R-3m (No. 166, hexagonal axes)
Inequivalent atoms, fractional coordinates:
Cr1 0.0000 0.0000 0.2360 x6
Hg1 0.0000 0.0000 0.0000 x3
As1 0.0000 0.0000 0.5000 x3



It comes down to arrangement Q, which is 368 meV/atom more stable than the next structure.



Arrangement P

Here is crystalline Cr2HgAs at its relaxed geometry from Alexandria via LeMat-Bulk. Energies are from PBE.

DOS(E_F) = 1.72 states/eV/cell

abc: 2.9636 2.9667 8.0336
angles: 90.00 100.57 90.00
Space group Pm (No. 6)
Inequivalent atoms, fractional coordinates:
Cr1 0.0000 0.0000 0.0000 x1
Cr2 0.4178 0.5000 0.8347 x1
Hg1 0.7837 0.0000 0.5687 x1
As1 0.5972 0.5000 0.1962 x1



Arrangement Q

Here is crystalline Cr2HgAs at its relaxed geometry from Alexandria via LeMat-Bulk. Energies are from PBE.

DOS(E_F) = 3.20 states/eV/cell

abc: 4.5247 4.5247 3.5369
angles: 90.00 90.00 90.00
Space group P4/mmm (No. 123)
Inequivalent atoms, fractional coordinates:
Cr1 0.0000 0.5000 0.0000 x2
Hg1 0.0000 0.0000 0.5000 x1
As1 0.5000 0.5000 0.5000 x1



It comes down to arrangement P, which is 203 meV/atom more stable than the next structure.



Arrangement P

Here is crystalline CrHgMoAs2 at its relaxed geometry from Alexandria via LeMat-Bulk. Energies are from PBE.

DOS(E_F) = 5.24 states/eV/cell

abc: 4.8683 4.8683 4.7457
angles: 90.00 90.00 90.00
Space group P4/mmm (No. 123)
Inequivalent atoms, fractional coordinates:
Cr1 0.0000 0.0000 0.0000 x1
Hg1 0.5000 0.5000 0.0000 x1
Mo1 0.0000 0.0000 0.5000 x1
As1 0.0000 0.5000 0.5000 x2



Arrangement Q

Here is crystalline CrHgMoAs2 at its relaxed geometry from Alexandria via LeMat-Bulk. Energies are from PBE.

DOS(E_F) = 3.37 states/eV/cell

abc: 4.5985 4.5985 5.1470
angles: 90.00 90.00 90.00
Space group P4/mmm (No. 123)
Inequivalent atoms, fractional coordinates:
Cr1 0.0000 0.0000 0.0000 x1
Hg1 0.0000 0.0000 0.5000 x1
Mo1 0.5000 0.5000 0.5000 x1
As1 0.0000 0.5000 0.0000 x2



It comes down to arrangement P, which is 35 meV/atom more stable than the next structure.